VASP calculation (PBE-GGA) on Nd3HoEr2S6 after structural relaxation.

Structure (POSCAR):
```
Nd3HoEr2S6
1.0
6.819 -0.010 -0.002
-3.417 5.901 -0.002
-1.137 -1.968 6.610
Ho Nd S Er
1 3 6 2
direct
0.000 0.000 0.000
0.500 0.500 0.500
0.834 0.166 0.500
0.166 0.834 0.500
0.742 0.742 0.231
0.589 0.923 0.769
0.411 0.077 0.231
0.258 0.258 0.769
0.077 0.411 0.231
0.923 0.589 0.769
0.667 0.333 0.000
0.333 0.667 0.000
```

Values from the calculation:
**VASP energy**: -76.8 eV/cell
**Size of the total moment**: 0.000 μB per atom
**Raw formation energy**: -2.00 eV per atom

VASP calculation (PBE-GGA) on Nd3Ho3ErS8 after structural relaxation.

Structure (POSCAR):
```
Nd3Ho3ErS8
1.0
-0.175 5.000 6.089
-5.362 0.597 -5.744
-0.310 -6.166 5.054
S Ho Nd Er
8 3 3 1
direct
0.755 0.509 0.265
0.245 0.491 0.735
0.256 0.011 0.265
0.755 0.011 0.265
0.245 0.989 0.735
0.744 0.989 0.735
0.744 0.489 0.733
0.256 0.511 0.267
0.500 0.000 0.500
0.500 0.500 0.500
0.000 0.500 0.500
0.500 0.500 0.000
0.000 0.500 0.000
0.000 0.000 0.000
0.000 0.000 0.500
```

Values from the calculation:
**VASP energy**: -96.3 eV/cell
**Size of the total moment**: 0.000 μB per atom
**Raw formation energy**: -2.05 eV per atom

VASP calculation (PBE-GGA) on Nd4HoEr3S8 after structural relaxation.

Structure (POSCAR):
```
Nd4HoEr3S8
1.0
7.854 0.000 0.000
0.000 8.037 0.123
-3.927 -3.923 5.556
Nd S Er Ho
4 8 3 1
direct
0.500 0.000 0.500
0.000 0.000 0.000
0.000 0.000 0.500
0.500 0.000 0.000
0.244 0.730 0.488
0.742 0.730 0.986
0.258 0.270 0.014
0.743 0.729 0.486
0.257 0.271 0.514
0.756 0.270 0.014
0.244 0.730 0.986
0.756 0.270 0.512
0.000 0.500 0.500
0.500 0.500 0.000
0.500 0.500 0.500
0.000 0.500 0.000
```

Values from the calculation:
**VASP energy**: -102.3 eV/cell
**Size of the total moment**: 0.000 μB per atom
**Raw formation energy**: -2.00 eV per atom

VASP calculation (PBE-GGA) on Nd3HoEr3S8 after structural relaxation.

Structure (POSCAR):
```
Nd3HoEr3S8
1.0
7.861 0.000 0.000
-3.931 6.808 -0.024
0.000 -4.516 6.565
Nd Er S Ho
3 3 8 1
direct
0.500 0.500 0.000
0.000 0.000 0.000
0.000 0.500 0.000
0.500 0.000 0.500
0.000 0.500 0.500
0.500 0.500 0.500
0.753 0.012 0.265
0.247 0.988 0.735
0.741 0.988 0.735
0.247 0.493 0.735
0.744 0.488 0.731
0.256 0.512 0.269
0.753 0.507 0.265
0.259 0.012 0.265
0.000 0.000 0.500
```

Values from the calculation:
**VASP energy**: -96.3 eV/cell
**Size of the total moment**: 0.000 μB per atom
**Raw formation energy**: -2.04 eV per atom

VASP calculation (PBE-GGA) on NdHo2Er3S6 after structural relaxation.

Structure (POSCAR):
```
NdHo2Er3S6
1.0
6.766 -0.012 -0.001
-3.391 5.854 -0.001
-1.127 -1.951 6.387
S Er Ho Nd
6 3 2 1
direct
0.086 0.430 0.259
0.742 0.742 0.255
0.570 0.914 0.741
0.914 0.570 0.741
0.430 0.086 0.259
0.258 0.258 0.745
0.162 0.838 0.500
0.500 0.500 0.500
0.838 0.162 0.500
0.666 0.334 0.000
0.334 0.666 0.000
0.000 0.000 0.000
```

Values from the calculation:
**VASP energy**: -76.1 eV/cell
**Size of the total moment**: 0.000 μB per atom
**Raw formation energy**: -1.97 eV per atom

VASP calculation (PBE-GGA) on Nd3Ho2ErS6 after structural relaxation.

Structure (POSCAR):
```
Nd3Ho2ErS6
1.0
-4.086 4.072 -3.657
-2.457 -5.745 2.759
0.590 3.877 5.782
Er Ho Nd S
1 2 3 6
direct
0.000 0.000 0.000
0.667 0.333 0.000
0.333 0.667 0.000
0.167 0.833 0.500
0.833 0.167 0.500
0.500 0.500 0.500
0.409 0.077 0.231
0.255 0.255 0.768
0.923 0.591 0.769
0.591 0.923 0.769
0.077 0.409 0.231
0.745 0.745 0.232
```

Values from the calculation:
**VASP energy**: -76.9 eV/cell
**Size of the total moment**: 0.000 μB per atom
**Raw formation energy**: -2.01 eV per atom

VASP calculation (PBE-GGA) on Nd2HoErSb4 after structural relaxation.

Structure (POSCAR):
```
Nd2HoErSb4
1.0
4.448 0.000 0.000
0.000 7.698 0.133
0.000 -2.691 7.202
Sb Ho Er Nd
4 1 1 2
direct
0.500 0.246 0.239
0.000 0.747 0.240
0.500 0.754 0.761
0.000 0.253 0.760
0.500 0.500 0.000
0.000 0.000 0.000
0.000 0.500 0.500
0.500 0.000 0.500
```

Values from the calculation:
**VASP energy**: -44.3 eV/cell
**Size of the total moment**: 0.000 μB per atom
**Raw formation energy**: -1.14 eV per atom

VASP calculation (PBE-GGA) on Nd2HoEr3Sb6 after structural relaxation.

Structure (POSCAR):
```
Nd2HoEr3Sb6
1.0
-1.010 -2.579 -3.438
-1.307 -6.792 5.479
-8.177 5.387 1.196
Er Nd Sb Ho
3 2 6 1
direct
0.832 0.166 0.664
0.500 0.500 0.000
0.168 0.834 0.336
0.166 0.332 0.332
0.834 0.668 0.668
0.336 0.410 0.671
0.003 0.751 0.007
0.664 0.590 0.329
0.997 0.249 0.993
0.666 0.075 0.333
0.334 0.925 0.667
0.500 0.000 0.000
```

Values from the calculation:
**VASP energy**: -66.0 eV/cell
**Size of the total moment**: 0.000 μB per atom
**Raw formation energy**: -1.12 eV per atom

Question: VASP energy of number 8 (Nd2HoEr3Sb6)?
Answer: -66.0 eV/cell

Question: What is the size of the total moment in the sixth record?
Answer: 0.000 μB per atom

Question: Number 8 is which compound?
Answer: Nd2HoEr3Sb6

Question: VASP energy of number 3 (Nd4HoEr3S8)?
Answer: -102.3 eV/cell